# 1
Here is a crystal of MnP2Ir relaxed with PBEsol from Alexandria via LeMat-Bulk. Energies are from SCAN.

The structure belongs to space group Cm (No. 8); the cell edges are 7.507, 3.038 and 4.636 Å and the angles 90.00°, 103.55° and 90.00°. The distinct sites, in fractional coordinates, are Mn at (0.000, 0.000, 0.000), P at (0.023, 0.500, 0.637), P at (0.292, 0.000, 0.032) and Ir at (0.281, 0.500, 0.423).

The value obtained for the total magnetization is 0.3 Bohr magnetons per cell. For the total DFT energy (no corrections), the calculation gives -223.089 eV for the cell shown. The calculated formation energy is -0.35 eV per atom.

# 2
Here is a crystal of Mn2PIr relaxed with PBEsol from Alexandria via LeMat-Bulk. Energies are from SCAN.

The structure belongs to space group R-3m (No. 166, hexagonal axes); the cell edges are 2.6323, 2.6323 and 23.0556 Å and the angles 90.00°, 90.00° and 120.00°. The distinct sites, in fractional coordinates, are Mn at (0.0000, 0.0000, 0.2426), P at (0.0000, 0.0000, 0.5000) and Ir at (0.0000, 0.0000, 0.0000).

The value obtained for the total magnetization is 7.1 Bohr magnetons per cell. For the total DFT energy (no corrections), the calculation gives -355.646 eV for the cell shown. The calculated formation energy is -0.14 eV per atom.

# 3
Here is a crystal of MnIr2Pb relaxed with PBEsol from Alexandria via LeMat-Bulk. Energies are from SCAN.

The structure belongs to space group C2/m (No. 12); the cell edges are 5.617, 9.280 and 2.872 Å and the angles 90.00°, 120.05° and 90.00°. The distinct sites, in fractional coordinates, are Mn at (0.000, 0.000, 0.000), Ir at (0.250, 0.250, 0.500) and Pb at (0.000, 0.500, 0.000).

The value obtained for the total magnetization is 8.4 Bohr magnetons per cell. For the total DFT energy (no corrections), the calculation gives -469.847 eV for the cell shown. The calculated formation energy is 0.33 eV per atom.